{
  "formula": "DySi3RuRh",
  "functional": "PBE",
  "state": "optimized geometry",
  "formation_energy_uncorrected_kj_per_mol_atoms": -49.6,
  "dos_at_fermi_per_ev_fu": 2.04,
  "cell": [[3.0739, -6.8169, 0.0000], [3.0739, 6.8169, 0.0000], [0.0000, 0.0000, 5.5003]],
  "species": ["Dy", "Dy", "Si", "Si", "Si", "Si", "Si", "Si", "Ru", "Ru", "Rh", "Rh"],
  "fractional_positions": [[0.1849, 0.8151, 0.7500], [0.8151, 0.1849, 0.2500], [0.2291, 0.7709, 0.2500], [0.2883, 0.2883, 0.0000], [0.2883, 0.2883, 0.5000], [0.7117, 0.7117, 0.0000], [0.7117, 0.7117, 0.5000], [0.7709, 0.2291, 0.7500], [0.0651, 0.9349, 0.2500], [0.9349, 0.0651, 0.7500], [0.3924, 0.6076, 0.2500], [0.6076, 0.3924, 0.7500]]
}


{
  "formula": "DySi2RuRh",
  "functional": "PBE",
  "state": "optimized geometry",
  "formation_energy_uncorrected_kj_per_mol_atoms": -100.4,
  "dos_at_fermi_per_ev_fu": 1.78,
  "cell": [[-2.0613, 2.0613, 4.8809], [2.0613, -2.0613, 4.8809], [2.0613, 2.0613, -4.8809]],
  "species": ["Dy", "Si", "Si", "Ru", "Rh"],
  "fractional_positions": [[0.0000, 0.0000, 0.0000], [0.3732, 0.3732, 0.0000], [0.6268, 0.6268, 0.0000], [0.7500, 0.2500, 0.5000], [0.2500, 0.7500, 0.5000]]
}


{
  "formula": "SmDyRuRh",
  "functional": "PBE",
  "state": "optimized geometry",
  "dos_at_fermi_per_ev_fu": 1.63,
  "delta_e_f_ev_per_atom": -0.547,
  "de_polymorph_ev_per_atom": 0.000,
  "cell": [[3.4485, 0.0000, 0.0000], [0.0000, 3.4485, 0.0000], [0.0000, 0.0000, 6.8800]],
  "species": ["Sm", "Dy", "Ru", "Rh"],
  "fractional_positions": [[0.0000, 0.0000, 0.0000], [0.0000, 0.0000, 0.4924], [0.5000, 0.5000, 0.2511], [0.5000, 0.5000, 0.7395]]
}


{
  "formula": "SmDyRuRh",
  "functional": "PBE",
  "state": "optimized geometry",
  "dos_at_fermi_per_ev_fu": 2.47,
  "delta_e_f_ev_per_atom": -0.531,
  "de_polymorph_ev_per_atom": 0.017,
  "cell": [[0.0000, 3.4491, 3.4491], [3.4491, 0.0000, 3.4491], [3.4491, 3.4491, 0.0000]],
  "species": ["Sm", "Dy", "Ru", "Rh"],
  "fractional_positions": [[0.0000, 0.0000, 0.0000], [0.5000, 0.5000, 0.5000], [0.2500, 0.2500, 0.2500], [0.7500, 0.7500, 0.7500]]
}


In the order shown, the computed calculated density values come out to 6.5, 8.5, 10.5, 10.5 Mg/m³.
In the order shown, the computed total magnetization values come out to 0.00, 0.00, 0.00, 0.00 μB/f.u..